(1)
DFT (GGA-PBE) results for crystalline CaMg12Rh6 at its relaxed geometry.

Structure (POSCAR):
```
CaMg12Rh6
1.0
7.536 0.027 0.038
-1.842 7.308 0.038
-1.842 -2.372 6.912
Rh Mg Ca
6 12 1
direct
0.750 0.750 0.308 Rh
0.250 0.250 0.692 Rh
0.250 0.692 0.250 Rh
0.750 0.308 0.750 Rh
0.692 0.250 0.250 Rh
0.308 0.750 0.750 Rh
0.441 0.173 0.441 Mg
0.559 0.827 0.559 Mg
0.500 0.879 0.121 Mg
0.121 0.879 0.500 Mg
0.559 0.559 0.827 Mg
0.500 0.121 0.879 Mg
0.173 0.441 0.441 Mg
0.879 0.121 0.500 Mg
0.441 0.441 0.173 Mg
0.121 0.500 0.879 Mg
0.879 0.500 0.121 Mg
0.827 0.559 0.559 Mg
0.000 0.000 0.000 Ca
```

Computed properties:
formation energy	-0.26	eV/atom
symmetry	R-3m (166)
density	4.1	Mg/m³
magnetization	0.0	μB/f.u.

(2)
DFT (GGA-PBE) results for crystalline IrW2Au at its relaxed geometry.

Structure (POSCAR):
```
IrW2Au
1.0
2.783 0.001 0.000
-0.002 2.783 0.000
0.000 0.000 8.237
W Au Ir
2 1 1
direct
0.000 0.000 0.513 W
0.000 0.000 0.987 W
0.500 0.500 0.250 Au
0.500 0.500 0.750 Ir
```

Computed properties:
excess energy over the best structure of this formula in the dataset	0.010	eV per atom
formation energy	0.11	eV/atom
symmetry	P4/mmm (123)
density	19.7	Mg/m³
magnetization	0.0	μB/f.u.

(3)
DFT (GGA-PBE) results for crystalline SmEr3Ga3 at its relaxed geometry.

Structure (POSCAR):
```
SmEr3Ga3
1.0
-1.782 0.340 -4.412
-2.408 -8.803 0.295
-5.829 6.426 2.849
Ga Er Sm
6 6 2
direct
0.250 0.059 0.449 Ga
0.750 0.449 0.391 Ga
0.250 0.551 0.609 Ga
0.750 0.941 0.551 Ga
0.250 0.391 0.941 Ga
0.750 0.609 0.059 Ga
0.250 0.238 0.254 Er
0.250 0.016 0.762 Er
0.250 0.746 0.984 Er
0.750 0.254 0.016 Er
0.750 0.762 0.746 Er
0.750 0.984 0.238 Er
0.750 0.333 0.667 Sm
0.250 0.667 0.333 Sm
```

Computed properties:
formation energy	-0.44	eV/atom
symmetry	P6_3/m (176)
density	8.3	Mg/m³
magnetization	0.0	μB/f.u.

(4)
DFT (GGA-PBE) results for crystalline Li2LaMg at its relaxed geometry.

Structure (POSCAR):
```
Li2LaMg
1.0
5.298 -0.278 0.000
0.296 5.297 0.000
-2.797 -2.510 3.745
Li Mg La
2 1 1
direct
0.250 0.750 0.500 Li
0.000 0.000 0.000 Li
0.500 0.500 0.000 Mg
0.750 0.250 0.500 La
```

Computed properties:
formation energy	0.08	eV/atom
symmetry	I-4m2 (119)
density	2.8	Mg/m³
magnetization	0.0	μB/f.u.

(5)
DFT (GGA-PBE) results for crystalline CsCdICl2 at its relaxed geometry.

Structure (POSCAR):
```
CsCdICl2
1.0
4.683 0.000 0.000
-2.342 8.713 0.000
0.000 0.000 9.223
Cd Cs Cl I
2 2 4 2
direct
0.000 0.000 0.000 Cd
0.000 0.000 0.500 Cd
0.718 0.437 0.750 Cs
0.282 0.563 0.250 Cs
0.141 0.282 0.985 Cl
0.141 0.282 0.515 Cl
0.859 0.718 0.015 Cl
0.859 0.718 0.485 Cl
0.489 0.977 0.750 I
0.511 0.023 0.250 I
```

Computed properties:
ΔE_f (raw)	-6.30	eV/f.u.
symmetry	Cmcm (63)
density	3.9	Mg/m³
magnetization	0.0	μB/f.u.

(6)
DFT (GGA-PBE) results for crystalline Pm5HgRh4 at its relaxed geometry.

Structure (POSCAR):
```
Pm5HgRh4
1.0
3.571 0.000 0.000
0.000 3.571 0.000
0.000 0.000 18.034
Rh Pm Hg
4 5 1
direct
0.000 0.000 0.403 Rh
0.000 0.000 0.790 Rh
0.000 0.000 0.210 Rh
0.000 0.000 0.597 Rh
0.500 0.500 0.500 Pm
0.500 0.500 0.119 Pm
0.500 0.500 0.881 Pm
0.500 0.500 0.691 Pm
0.500 0.500 0.309 Pm
0.000 0.000 0.000 Hg
```

Computed properties:
formation energy	-0.65	eV/atom
symmetry	P4/mmm (123)
density	9.7	Mg/m³
magnetization	0.0	μB/f.u.

(7)
DFT (GGA-PBE) results for crystalline Ho4AlBi at its relaxed geometry.

Structure (POSCAR):
```
Ho4AlBi
1.0
-5.165 2.213 0.047
-1.651 -3.951 4.693
5.655 5.914 6.968
Ho Bi Al
8 2 2
direct
0.294 0.572 0.587 Ho
0.876 0.322 0.752 Ho
0.294 0.072 0.587 Ho
0.560 0.322 0.121 Ho
0.124 0.822 0.248 Ho
0.706 0.572 0.413 Ho
0.440 0.822 0.879 Ho
0.706 0.072 0.413 Ho
0.149 0.322 0.298 Bi
0.851 0.822 0.702 Bi
0.580 0.822 0.161 Al
0.420 0.322 0.839 Al
```

Computed properties:
excess energy over the best structure of this formula in the dataset	0.191	eV per atom
formation energy	-0.19	eV/atom
symmetry	Cmcm (63)
density	8.0	Mg/m³
magnetization	0.5	μB/f.u.

(8)
DFT (GGA-PBE) results for crystalline UMo2H6 at its relaxed geometry.

Structure (POSCAR):
```
UMo2H6
1.0
2.710 -4.693 0.000
2.710 4.693 0.000
0.000 0.000 2.980
H Mo U
6 2 1
direct
0.557 0.778 0.498 H
0.778 0.557 0.502 H
0.443 0.222 0.502 H
0.778 0.222 0.502 H
0.222 0.778 0.498 H
0.222 0.443 0.498 H
0.667 0.333 0.001 Mo
0.333 0.667 0.999 Mo
0.000 0.000 0.500 U
```

Computed properties:
symmetry	P6/mmm (191)
density	9.6	Mg/m³
magnetization	0.0	μB/f.u.
VASP energy	-5.75	eV/atom

Q: The lowest density belongs to which entry?
A: Li2LaMg